OsSe3S | Alexandria via LeMat-Bulk | GGA-PBEsol | optimized geometry; E_form (uncorrected) = 79.9 kJ/mol of atoms; E_tot = -4.802 eV/atom; total moment = 0.00 μB/cell; calculated volume = 21.82 Å³ per atom; space group = Pm-3m, No. 221; DOS(E_F) = 1.32 states/eV/atom
1.0
4.778 0.000 0.000
0.000 4.778 0.000
0.000 0.000 4.778
Os Se S
1 3 1
Cartesian
0.000 0.000 0.000
2.389 0.000 0.000
0.000 0.000 2.389
0.000 2.389 0.000
2.389 2.389 2.389